Entry 1:
The following is a GGA-PBEsol calculation of crystalline Li3Al2FeO6 at its relaxed geometry, from Alexandria via LeMat-Bulk.

The structure in POSCAR format:
```
Li3Al2FeO6
1.0
-3.324 3.046 -1.808
-0.781 -4.792 -0.118
-0.709 0.817 4.854
Li O Al Fe
3 6 2 1
direct
0.838 0.162 0.500 Li
0.162 0.838 0.500 Li
0.500 0.500 0.500 Li
0.410 0.073 0.218 O
0.735 0.735 0.219 O
0.927 0.590 0.782 O
0.590 0.927 0.782 O
0.073 0.410 0.218 O
0.265 0.265 0.781 O
0.333 0.667 0.000 Al
0.667 0.333 0.000 Al
0.000 0.000 0.000 Fe
```

Values from the calculation:
The density of states at the Fermi level is 7.16 states/eV per cell. For the electronic total energy, the calculation gives -6.91 eV per atom. For the uncorrected formation energy, the calculation gives -2.3605 eV per atom.

***

Entry 2:
The following is a GGA-PBEsol calculation of crystalline MgAlCd2 at its relaxed geometry, from Alexandria via LeMat-Bulk.

The structure in POSCAR format:
```
MgAlCd2
1.0
-2.266 2.109 0.221
-0.498 -1.013 4.565
4.609 3.086 1.188
Al Cd Mg
1 2 1
direct
0.055 0.500 0.731 Al
0.778 0.500 0.224 Cd
0.180 0.000 0.009 Cd
0.487 0.000 0.536 Mg
```

Values from the calculation:
For the energy of formation, the calculation gives 0.036 eV/atom. The density of states at the Fermi level is 1.46 states/eV per cell. For the electronic total energy, the calculation gives -2.01 eV per atom.

***

Entry 3:
The following is a GGA-PBEsol calculation of crystalline KAlO2 at its relaxed geometry, from Alexandria via LeMat-Bulk.

The structure in POSCAR format:
```
KAlO2
1.0
-0.213 -3.701 -4.281
-2.328 -5.102 0.782
-4.965 -1.248 -2.420
Al K O
2 2 4
direct
0.250 0.250 0.250 Al
0.000 0.000 0.000 Al
0.750 0.750 0.750 K
0.500 0.500 0.500 K
0.125 0.625 0.125 O
0.625 0.125 0.125 O
0.125 0.125 0.125 O
0.125 0.125 0.625 O
```

Values from the calculation:
The density of states at the Fermi level is 0.00 states/eV per cell. For the electronic total energy, the calculation gives -6.42 eV per atom. For the uncorrected formation energy, the calculation gives -2.4931 eV per atom.

***

Entry 4:
The following is a GGA-PBEsol calculation of crystalline CsTeHN2 at its relaxed geometry, from Alexandria via LeMat-Bulk.

The structure in POSCAR format:
```
CsTeHN2
1.0
4.556 0.000 0.000
0.000 4.556 0.000
0.000 0.000 7.498
N H Cs Te
2 1 1 1
direct
0.000 0.500 0.000 N
0.500 0.000 0.000 N
0.500 0.500 0.500 H
0.000 0.000 0.000 Cs
0.000 0.000 0.500 Te
```

Values from the calculation:
The calculation puts the energy relative to the lowest polymorph listed for this composition at 1.016 eV/atom. The density of states at the Fermi level is 4.37 states/eV per cell. For the electronic total energy, the calculation gives -2.25 eV per atom.

***

Entry 5:
The following is a GGA-PBEsol calculation of crystalline MgZn2Au2 at its relaxed geometry, from Alexandria via LeMat-Bulk.

The structure in POSCAR format:
```
MgZn2Au2
1.0
-2.209 -0.942 -2.690
2.135 -2.803 -0.771
-3.418 -1.905 5.891
Zn Mg Au
2 1 2
direct
0.750 0.250 0.500 Zn
0.250 0.750 0.500 Zn
0.000 0.000 0.000 Mg
0.397 0.397 0.795 Au
0.603 0.603 0.205 Au
```

Values from the calculation:
For the energy of formation, the calculation gives -0.315 eV/atom. The calculation puts the energy relative to the lowest polymorph listed for this composition at 0.000 eV/atom. The density of states at the Fermi level is 1.37 states/eV per cell. For the electronic total energy, the calculation gives -2.86 eV per atom.

***

Entry 6:
The following is a GGA-PBEsol calculation of crystalline MgP at its relaxed geometry, from Alexandria via LeMat-Bulk.

The structure in POSCAR format:
```
MgP
1.0
2.753 0.000 0.000
0.000 3.490 0.000
0.000 0.000 3.490
Mg P
1 1
direct
0.000 0.500 0.500 Mg
0.500 0.000 0.000 P
```

Values from the calculation:
For the energy of formation, the calculation gives -0.205 eV/atom. The calculation puts the energy relative to the lowest polymorph listed for this composition at 0.124 eV/atom. The density of states at the Fermi level is 0.64 states/eV per cell. For the electronic total energy, the calculation gives -3.96 eV per atom.

***

Entry 7:
The following is a GGA-PBEsol calculation of crystalline CsK5Zn4Sn5S17 at its relaxed geometry, from Alexandria via LeMat-Bulk.

The structure in POSCAR format:
```
CsK5Zn4Sn5S17
1.0
9.499 0.000 0.000
4.749 9.733 0.000
4.749 0.000 9.733
K S Sn Zn Cs
5 17 5 4 1
direct
0.238 0.000 0.525 K
0.762 0.475 0.000 K
0.500 0.000 0.000 K
0.762 0.000 0.475 K
0.238 0.525 0.000 K
0.420 0.007 0.721 S
0.420 0.721 0.007 S
0.602 0.642 0.358 S
0.602 0.358 0.642 S
0.756 0.642 0.642 S
0.707 0.282 0.282 S
0.860 0.721 0.993 S
0.041 0.358 0.358 S
0.860 0.993 0.721 S
0.573 0.279 0.007 S
0.148 0.279 0.993 S
0.000 0.000 0.000 S
0.148 0.993 0.279 S
0.573 0.007 0.279 S
0.011 0.718 0.282 S
0.271 0.718 0.718 S
0.011 0.282 0.718 S
0.775 0.224 0.776 Sn
0.750 0.500 0.500 Sn
0.002 0.224 0.224 Sn
0.775 0.776 0.224 Sn
0.449 0.776 0.776 Sn
0.140 0.862 0.138 Zn
0.722 0.138 0.138 Zn
0.999 0.862 0.862 Zn
0.140 0.138 0.862 Zn
0.250 0.500 0.500 Cs
```

Values from the calculation:
The density of states at the Fermi level is 0.00 states/eV per cell. For the electronic total energy, the calculation gives -4.22 eV per atom. For the uncorrected formation energy, the calculation gives -0.8187 eV per atom.

***

Entry 8:
The following is a GGA-PBEsol calculation of crystalline YSb at its relaxed geometry, from Alexandria via LeMat-Bulk.

The structure in POSCAR format:
```
YSb
1.0
-4.059 0.642 -3.100
1.861 -4.721 0.858
-5.883 -0.955 7.505
Y Sb
4 4
direct
0.000 0.000 0.750 Y
0.333 0.667 0.750 Y
0.000 0.000 0.250 Y
0.667 0.333 0.250 Y
0.667 0.333 0.910 Sb
0.667 0.333 0.590 Sb
0.333 0.667 0.090 Sb
0.333 0.667 0.410 Sb
```

Values from the calculation:
The density of states at the Fermi level is 7.40 states/eV per cell. For the electronic total energy, the calculation gives -5.92 eV per atom. For the uncorrected formation energy, the calculation gives -0.2333 eV per atom.

***

Entry 9:
The following is a GGA-PBEsol calculation of crystalline AlIn3Se at its relaxed geometry, from Alexandria via LeMat-Bulk.

The structure in POSCAR format:
```
AlIn3Se
1.0
5.346 0.000 0.000
0.000 5.346 0.000
0.000 0.000 5.346
In Al Se
3 1 1
direct
0.000 0.000 0.500 In
0.000 0.500 0.000 In
0.500 0.000 0.000 In
0.500 0.500 0.500 Al
0.000 0.000 0.000 Se
```

Values from the calculation:
The density of states at the Fermi level is 3.62 states/eV per cell. For the electronic total energy, the calculation gives -2.82 eV per atom. For the uncorrected formation energy, the calculation gives 0.5545 eV per atom.

***

Entry 10:
The following is a GGA-PBEsol calculation of crystalline MoRh2Br at its relaxed geometry, from Alexandria via LeMat-Bulk.

The structure in POSCAR format:
```
MoRh2Br
1.0
-2.090 -2.022 0.227
0.040 -0.367 -2.894
4.910 -4.995 0.702
Rh Br Mo
2 1 1
direct
0.500 0.500 0.251 Rh
0.000 0.000 0.986 Rh
0.000 0.000 0.509 Br
0.500 0.500 0.754 Mo
```

Values from the calculation:
The calculation puts the energy relative to the lowest polymorph listed for this composition at 0.163 eV/atom. The density of states at the Fermi level is 4.21 states/eV per cell. For the electronic total energy, the calculation gives -7.10 eV per atom. For the uncorrected formation energy, the calculation gives 0.3766 eV per atom.

***

Entry 11:
The following is a GGA-PBEsol calculation of crystalline KCr2Fe at its relaxed geometry, from Alexandria via LeMat-Bulk.

The structure in POSCAR format:
```
KCr2Fe
1.0
2.848 0.000 0.000
0.000 2.848 0.000
0.000 0.000 8.571
Cr Fe K
2 1 1
direct
0.000 0.000 0.838 Cr
0.000 0.000 0.162 Cr
0.500 0.500 0.000 Fe
0.500 0.500 0.500 K
```

Values from the calculation:
For the energy of formation, the calculation gives 1.003 eV/atom. The calculation puts the energy relative to the lowest polymorph listed for this composition at 0.094 eV/atom. The density of states at the Fermi level is 4.09 states/eV per cell. For the electronic total energy, the calculation gives -6.64 eV per atom.

***

Entry 12:
The following is a GGA-PBEsol calculation of crystalline ZrSb4Os at its relaxed geometry, from Alexandria via LeMat-Bulk.

The structure in POSCAR format:
```
ZrSb4Os
1.0
5.855 0.000 0.000
2.927 5.071 0.000
2.927 1.690 4.781
Sb Os Zr
4 1 1
direct
0.375 0.375 0.876 Sb
0.375 0.375 0.375 Sb
0.375 0.876 0.375 Sb
0.876 0.375 0.375 Sb
0.000 0.000 0.000 Os
0.750 0.750 0.750 Zr
```

Values from the calculation:
The density of states at the Fermi level is 5.59 states/eV per cell. For the electronic total energy, the calculation gives -5.57 eV per atom. For the uncorrected formation energy, the calculation gives 1.0158 eV per atom.

***

Entry 13:
The following is a GGA-PBEsol calculation of crystalline TaZn2Ru at its relaxed geometry, from Alexandria via LeMat-Bulk.

The structure in POSCAR format:
```
TaZn2Ru
1.0
2.770 0.000 0.000
0.000 4.825 -0.004
0.000 -2.116 4.337
Ta Zn Ru
1 2 1
direct
0.500 0.500 0.500 Ta
0.000 0.000 0.500 Zn
0.000 0.500 0.000 Zn
0.500 0.000 0.000 Ru
```

Values from the calculation:
For the energy of formation, the calculation gives 0.074 eV/atom. The calculation puts the energy relative to the lowest polymorph listed for this composition at 0.105 eV/atom. The density of states at the Fermi level is 3.29 states/eV per cell. For the electronic total energy, the calculation gives -6.40 eV per atom.

***

Entry 14:
The following is a GGA-PBEsol calculation of crystalline ScZnCo2 at its relaxed geometry, from Alexandria via LeMat-Bulk.

The structure in POSCAR format:
```
ScZnCo2
1.0
2.875 0.000 -0.011
0.000 3.893 0.000
-1.420 0.000 4.787
Sc Co Zn
1 2 1
direct
0.543 0.000 0.461 Sc
0.936 0.500 0.247 Co
0.806 0.000 0.987 Co
0.215 0.500 0.806 Zn
```

Values from the calculation:
For the energy of formation, the calculation gives -0.053 eV/atom. The density of states at the Fermi level is 4.69 states/eV per cell. For the electronic total energy, the calculation gives -5.97 eV per atom.

***

Entry 15:
The following is a GGA-PBEsol calculation of crystalline Bi2O3 at its relaxed geometry, from Alexandria via LeMat-Bulk.

The structure in POSCAR format:
```
Bi2O3
1.0
9.594 0.000 0.000
-3.198 9.046 0.000
-3.198 -4.523 7.834
Bi O
16 24
direct
0.000 0.500 0.500 Bi
0.721 0.250 0.971 Bi
0.221 0.250 0.471 Bi
0.529 0.279 0.250 Bi
0.779 0.750 0.529 Bi
0.971 0.221 0.750 Bi
0.500 0.000 0.500 Bi
0.029 0.779 0.250 Bi
0.279 0.750 0.029 Bi
0.750 0.029 0.279 Bi
0.250 0.471 0.221 Bi
0.000 0.000 0.000 Bi
0.250 0.971 0.721 Bi
0.500 0.500 0.000 Bi
0.471 0.721 0.750 Bi
0.750 0.529 0.779 Bi
0.951 0.983 0.224 O
0.724 0.951 0.483 O
0.983 0.724 0.451 O
0.759 0.483 0.532 O
0.274 0.224 0.241 O
0.224 0.741 0.774 O
0.532 0.549 0.274 O
0.017 0.276 0.549 O
0.276 0.049 0.517 O
0.726 0.776 0.759 O
0.968 0.241 0.017 O
0.517 0.968 0.741 O
0.774 0.532 0.049 O
0.241 0.517 0.468 O
0.468 0.451 0.726 O
0.741 0.274 0.724 O
0.451 0.226 0.968 O
0.226 0.468 0.951 O
0.549 0.774 0.032 O
0.483 0.032 0.259 O
0.259 0.726 0.276 O
0.032 0.759 0.983 O
0.049 0.017 0.776 O
0.776 0.259 0.226 O
```

Values from the calculation:
The density of states at the Fermi level is 0.00 states/eV per cell. For the electronic total energy, the calculation gives -6.04 eV per atom. For the uncorrected formation energy, the calculation gives -1.1778 eV per atom.

***

Entry 16:
The following is a GGA-PBEsol calculation of crystalline LaZrPb2 at its relaxed geometry, from Alexandria via LeMat-Bulk.

The structure in POSCAR format:
```
LaZrPb2
1.0
-2.178 0.855 -2.524
-4.283 -2.139 2.971
0.358 5.413 1.524
Zr La Pb
1 1 2
direct
0.500 0.000 0.000 Zr
0.500 0.500 0.500 La
0.000 0.000 0.500 Pb
0.000 0.500 0.000 Pb
```

Values from the calculation:
For the energy of formation, the calculation gives -0.281 eV/atom. The density of states at the Fermi level is 2.70 states/eV per cell. For the electronic total energy, the calculation gives -5.89 eV per atom.

***

Entry 17:
The following is a GGA-PBEsol calculation of crystalline Ti2Se3 at its relaxed geometry, from Alexandria via LeMat-Bulk.

The structure in POSCAR format:
```
Ti2Se3
1.0
-4.028 3.980 -2.326
0.175 -5.751 -2.089
-7.955 -3.236 8.242
Se Ti
12 8
direct
0.990 0.666 0.369 Se
0.666 0.990 0.869 Se
0.666 0.676 0.631 Se
0.990 0.324 0.131 Se
0.010 0.334 0.631 Se
0.324 0.990 0.631 Se
0.676 0.666 0.131 Se
0.334 0.010 0.131 Se
0.010 0.676 0.869 Se
0.334 0.324 0.369 Se
0.324 0.334 0.869 Se
0.676 0.010 0.369 Se
0.667 0.333 0.995 Ti
0.333 0.667 0.250 Ti
0.333 0.667 0.005 Ti
0.667 0.333 0.505 Ti
0.333 0.667 0.495 Ti
0.000 0.000 0.000 Ti
0.000 0.000 0.500 Ti
0.667 0.333 0.750 Ti
```

Values from the calculation:
The density of states at the Fermi level is 11.79 states/eV per cell. For the electronic total energy, the calculation gives -6.86 eV per atom. For the uncorrected formation energy, the calculation gives -1.2203 eV per atom.

***

Entry 18:
The following is a GGA-PBEsol calculation of crystalline K2CrAs at its relaxed geometry, from Alexandria via LeMat-Bulk.

The structure in POSCAR format:
```
K2CrAs
1.0
-0.629 -4.321 -1.361
3.391 -1.882 4.408
-5.228 2.774 1.297
Cr K As
1 2 1
direct
0.165 0.665 0.330 Cr
0.785 0.285 0.569 K
0.965 0.965 0.931 K
0.585 0.585 0.170 As
```

Values from the calculation:
For the energy of formation, the calculation gives 0.157 eV/atom. The density of states at the Fermi level is 0.90 states/eV per cell. For the electronic total energy, the calculation gives -4.25 eV per atom.

***

Entry 19:
The following is a GGA-PBEsol calculation of crystalline YRe2Cl at its relaxed geometry, from Alexandria via LeMat-Bulk.

The structure in POSCAR format:
```
YRe2Cl
1.0
3.180 0.000 0.000
0.000 4.146 0.023
-1.590 -0.382 5.578
Y Cl Re
1 1 2
direct
0.500 0.000 0.000 Y
0.000 0.500 0.000 Cl
0.769 0.784 0.537 Re
0.231 0.216 0.463 Re
```

Values from the calculation:
The calculation puts the energy relative to the lowest polymorph listed for this composition at 0.000 eV/atom. The density of states at the Fermi level is 2.18 states/eV per cell. For the electronic total energy, the calculation gives -8.78 eV per atom. For the uncorrected formation energy, the calculation gives 0.0937 eV per atom.

***

Entry 20:
The following is a GGA-PBEsol calculation of crystalline Zr5Ir at its relaxed geometry, from Alexandria via LeMat-Bulk.

The structure in POSCAR format:
```
Zr5Ir
1.0
-1.874 -2.751 0.213
1.909 0.310 -5.322
5.014 -3.099 4.096
Zr Ir
5 1
direct
0.834 0.667 0.187 Zr
0.166 0.333 0.813 Zr
0.500 0.000 0.000 Zr
0.151 0.301 0.352 Zr
0.849 0.699 0.648 Zr
0.500 0.000 0.500 Ir
```

Values from the calculation:
For the energy of formation, the calculation gives -0.296 eV/atom. The calculation puts the energy relative to the lowest polymorph listed for this composition at 0.000 eV/atom. The density of states at the Fermi level is 7.46 states/eV per cell. For the electronic total energy, the calculation gives -9.51 eV per atom.